The following is a PBE+U calculation of P2WNO after structural relaxation, from Alexandria via LeMat-Bulk.

Output
electronic total energy	-5.26	eV per atom
DOS(E_F)	0.342	states/eV per atom
density	5.11	g/cm³
energy above the lowest structure with this stoichiometry	75.1	meV/atom
space-group type	P4/mmm (123)
spin magnetization	1.3	μB per cell

Lattice parameters (Å, degrees): 4.837 4.837 3.832 90.00 90.00 90.00
Element x y z (fractional)
P  0.000  0.500  0.000
P  0.500  0.000  0.000
W  0.000  0.000  0.000
N  0.500  0.500  0.500
O  0.000  0.000  0.500